CsAlAuCl6 GGA-PBE relaxed; VASP energy = -29.5 eV/cell
1.0
6.4817 0.0000 0.0000
-2.5462 5.9654 0.0000
-0.3667 -0.5396 7.6043
Cs Al Au Cl
1 1 1 6
direct
0.0000 0.0000 0.0000
0.6431 0.3556 0.4997
0.2969 0.7020 0.5000
0.3452 0.0702 0.6461
0.3617 0.4146 0.3128
0.5846 0.6362 0.6873
0.6407 0.0981 0.2937
0.9014 0.3571 0.7051
0.9281 0.6541 0.3536